A relaxed structure of BeRhBr3, computed with PBE-GGA.

Excess energy over the best structure of this formula in the dataset = 0 meV per atom
Space group = Pm-3m (221)
Uncorrected formation energy = 0.34 eV/atom

Cell lengths 4.8194, 4.8194, 4.8194 Å; angles 90.00, 90.00, 90.00 degrees
Fractional coordinates of all 5 atoms:
1 Be 0.0000 0.0000 0.0000
2 Rh 0.5000 0.5000 0.5000
3 Br 0.0000 0.0000 0.5000
4 Br 0.0000 0.5000 0.0000
5 Br 0.5000 0.0000 0.0000

---

A relaxed structure of CsTi3Nb, computed with PBE-GGA.

Formation energy from the elements = 1227.5 meV/atom
Excess energy over the best structure of this formula in the dataset = 0 meV per atom
Space group = Pm-3m (221)

Cell lengths 5.1084, 5.1084, 5.1084 Å; angles 90.00, 90.00, 90.00 degrees
Fractional coordinates of all 5 atoms:
1 Cs 0.0000 0.0000 0.0000
2 Ti 0.0000 0.5000 0.5000
3 Ti 0.5000 0.0000 0.5000
4 Ti 0.5000 0.5000 0.0000
5 Nb 0.5000 0.5000 0.5000

---

A relaxed structure of Pm2PuSn9, computed with PBE-GGA.

Formation energy from the elements = -449.9 meV/atom
Space group = P4/mmm (123)

Cell lengths 4.6962, 4.6962, 14.3624 Å; angles 90.00, 90.00, 90.00 degrees
Fractional coordinates of all 12 atoms:
1 Pm 0.0000 0.0000 0.1727
2 Pm 0.0000 0.0000 0.8273
3 Pu 0.0000 0.0000 0.5000
4 Sn 0.0000 0.5000 0.0000
5 Sn 0.0000 0.5000 0.3386
6 Sn 0.0000 0.5000 0.6614
7 Sn 0.5000 0.0000 0.0000
8 Sn 0.5000 0.0000 0.3386
9 Sn 0.5000 0.0000 0.6614
10 Sn 0.5000 0.5000 0.1693
11 Sn 0.5000 0.5000 0.5000
12 Sn 0.5000 0.5000 0.8307

---

A relaxed structure of InPSeN2, computed with PBE-GGA.

Excess energy over the best structure of this formula in the dataset = 879 meV per atom
Space group = P4/mmm (123)
Uncorrected formation energy = 1.73 eV/atom

Cell lengths 4.2047, 4.2047, 5.6357 Å; angles 90.00, 90.00, 90.00 degrees
Fractional coordinates of all 5 atoms:
1 In 0.0000 0.0000 0.0000
2 P 0.5000 0.5000 0.5000
3 Se 0.0000 0.0000 0.5000
4 N 0.0000 0.5000 0.0000
5 N 0.5000 0.0000 0.0000

---

A relaxed structure of TiICl2, computed with PBE-GGA.

Excess energy over the best structure of this formula in the dataset = 425 meV per atom
Space group = I-42d (122)
Uncorrected formation energy = -0.78 eV/atom

Cell lengths 7.1570, 7.1570, 7.1570 Å; angles 118.30, 118.30, 92.98 degrees
Fractional coordinates of all 8 atoms:
1 Ti 0.0000 0.0000 0.0000
2 Ti 0.7500 0.2500 0.5000
3 I 0.2500 0.7500 0.5000
4 I 0.5000 0.5000 0.0000
5 Cl 0.3750 0.2189 0.3439
6 Cl 0.7811 0.1250 0.1561
7 Cl 0.8750 0.0311 0.6561
8 Cl 0.9689 0.6250 0.8439

---

A relaxed structure of ScAg2W, computed with PBE-GGA.

Formation energy from the elements = 476.7 meV/atom
Excess energy over the best structure of this formula in the dataset = 279 meV per atom
Space group = P4/mmm (123)

Cell lengths 4.9763, 4.9763, 2.9105 Å; angles 90.00, 90.00, 90.00 degrees
Fractional coordinates of all 4 atoms:
1 Sc 0.0000 0.0000 0.0000
2 Ag 0.0000 0.5000 0.5000
3 Ag 0.5000 0.0000 0.5000
4 W 0.5000 0.5000 0.0000

---

A relaxed structure of Y5ErAg6, computed with PBE-GGA.

Formation energy from the elements = -332.9 meV/atom
Space group = Cmmm (65)

Cell lengths 8.1684, 8.1684, 7.2228 Å; angles 90.00, 90.00, 143.13 degrees
Fractional coordinates of all 12 atoms:
1 Y 0.0000 0.0000 0.0000
2 Y 0.3328 0.6672 0.0000
3 Y 0.3337 0.6663 0.5000
4 Y 0.6663 0.3337 0.5000
5 Y 0.6672 0.3328 0.0000
6 Er 0.0000 0.0000 0.5000
7 Ag 0.1655 0.8345 0.2519
8 Ag 0.1655 0.8345 0.7481
9 Ag 0.5000 0.5000 0.2532
10 Ag 0.5000 0.5000 0.7468
11 Ag 0.8345 0.1655 0.2519
12 Ag 0.8345 0.1655 0.7481

---

A relaxed structure of La6Tb2Nd3Mg, computed with PBE-GGA.

Formation energy from the elements = 22.0 meV/atom
Space group = C2/m (12)

Cell lengths 6.3713, 6.3713, 12.0361 Å; angles 95.14, 95.14, 120.18 degrees
Fractional coordinates of all 12 atoms:
1 La 0.0802 0.4113 0.2442
2 La 0.2498 0.2498 0.7541
3 La 0.4113 0.0802 0.2442
4 La 0.5887 0.9198 0.7558
5 La 0.7502 0.7502 0.2459
6 La 0.9198 0.5887 0.7558
7 Tb 0.3336 0.6664 0.0000
8 Tb 0.6664 0.3336 0.0000
9 Nd 0.1680 0.8320 0.5000
10 Nd 0.5000 0.5000 0.5000
11 Nd 0.8320 0.1680 0.5000
12 Mg 0.0000 0.0000 0.0000

---

A relaxed structure of CsK2NaO, computed with PBE-GGA.

Space group = P4/mmm (123)
Uncorrected formation energy = -0.51 eV/atom

Cell lengths 5.6499, 5.6499, 6.1120 Å; angles 90.00, 90.00, 90.00 degrees
Fractional coordinates of all 5 atoms:
1 Cs 0.0000 0.0000 0.0000
2 K 0.0000 0.5000 0.5000
3 K 0.5000 0.0000 0.5000
4 Na 0.5000 0.5000 0.0000
5 O 0.0000 0.0000 0.5000

---

A relaxed structure of Ti2GeAsCl, computed with PBE-GGA.

Space group = P4/mmm (123)
Uncorrected formation energy = 0.50 eV/atom

Cell lengths 4.9373, 4.9373, 4.7311 Å; angles 90.00, 90.00, 90.00 degrees
Fractional coordinates of all 5 atoms:
1 Ti 0.0000 0.5000 0.0000
2 Ti 0.5000 0.0000 0.0000
3 Ge 0.0000 0.0000 0.0000
4 As 0.0000 0.0000 0.5000
5 Cl 0.5000 0.5000 0.5000

---

A relaxed structure of Sc3RuI3, computed with PBE-GGA.

Space group = P2_1/m (11)
Uncorrected formation energy = -0.90 eV/atom

Cell lengths 8.4902, 4.0380, 12.3054 Å; angles 90.00, 92.95, 90.00 degrees
Fractional coordinates of all 14 atoms:
1 Sc 0.0900 0.2500 0.2903
2 Sc 0.1391 0.2500 0.8746
3 Sc 0.2436 0.7500 0.0961
4 Sc 0.7564 0.2500 0.9039
5 Sc 0.8609 0.7500 0.1254
6 Sc 0.9100 0.7500 0.7097
7 Ru 0.0455 0.2500 0.0839
8 Ru 0.9545 0.7500 0.9161
9 I 0.1390 0.2500 0.6250
10 I 0.3371 0.7500 0.3478
11 I 0.4208 0.7500 0.8726
12 I 0.5792 0.2500 0.1274
13 I 0.6629 0.2500 0.6522
14 I 0.8610 0.7500 0.3750

---

Calculated total DFT energy (no corrections) (eV per atom), listed in the same order as above: -2.883, -5.694, -5.438, -3.925, -4.061, -5.770, -4.832, -4.538, -2.374, -4.881, -5.608
Calculated magnetic moment (μB per formula unit), listed in the same order as above: 2.0, 2.9, 5.5, 2.5, 1.0, 0.0, 0.0, 0.0, 0.0, 0.0, 0.0